(1)
The following is a DFT calculation (meta-GGA SCAN) of a PBEsol-optimized structure of ZrWS2N.

Computed properties:
- VASP energy (eV/atom) = -25.16
- Fermi-level density of states (states/eV per cell) = 1.74
- symmetry = P4/mmm, No. 123
- total magnetization (μB/f.u.) = 3.7
- formation energy without anion corrections (meV/atom) = 627

```
data_ZrWS2N
_chemical_formula_sum 'Zr1 W1 S2 N1'
_symmetry_space_group_name_H-M 'P 1'
_symmetry_Int_Tables_number 1
_cell_length_a 3.815
_cell_length_b 4.972
_cell_length_c 4.972
_cell_angle_alpha 90.00
_cell_angle_beta 90.00
_cell_angle_gamma 90.00
loop_
_symmetry_equiv_pos_as_xyz
'x,y,z'
loop_
_atom_site_label
_atom_site_fract_x
_atom_site_fract_y
_atom_site_fract_z
N1 0.500 0.000 0.000
W1 0.500 0.500 0.500
S1 0.000 0.000 0.500
S2 0.000 0.500 0.000
Zr1 0.000 0.000 0.000
```



(2)
The following is a DFT calculation (meta-GGA SCAN) of a PBEsol-optimized structure of Y4S3N2.

Computed properties:
- VASP energy (eV/atom) = -19.92
- Fermi-level density of states (states/eV per cell) = 0.00
- symmetry = C2/m, No. 12
- total magnetization (μB/f.u.) = 0.0
- formation energy without anion corrections (meV/atom) = -2271
- energy above the most stable polymorph in this dataset (meV per atom) = 0

```
data_Y4S3N2
_chemical_formula_sum 'Y4 S3 N2'
_symmetry_space_group_name_H-M 'P 1'
_symmetry_Int_Tables_number 1
_cell_length_a 3.790
_cell_length_b 6.661
_cell_length_c 7.878
_cell_angle_alpha 83.89
_cell_angle_beta 76.08
_cell_angle_gamma 73.47
loop_
_symmetry_equiv_pos_as_xyz
'x,y,z'
loop_
_atom_site_label
_atom_site_fract_x
_atom_site_fract_y
_atom_site_fract_z
S1 0.826 0.564 0.784
S2 0.174 0.436 0.216
S3 0.000 0.000 0.000
Y1 0.240 0.870 0.649
Y2 0.564 0.728 0.144
Y3 0.760 0.130 0.351
Y4 0.436 0.272 0.856
N1 0.644 0.073 0.639
N2 0.356 0.927 0.361
```



(3)
The following is a DFT calculation (meta-GGA SCAN) of a PBEsol-optimized structure of Y4S3N2.

Computed properties:
- VASP energy (eV/atom) = -19.83
- Fermi-level density of states (states/eV per cell) = 0.00
- symmetry = Pnma, No. 62
- total magnetization (μB/f.u.) = 0.0
- formation energy without anion corrections (meV/atom) = -2186
- energy above the most stable polymorph in this dataset (meV per atom) = 85

```
data_Y4S3N2
_chemical_formula_sum 'Y16 S12 N8'
_symmetry_space_group_name_H-M 'P 1'
_symmetry_Int_Tables_number 1
_cell_length_a 6.495
_cell_length_b 9.935
_cell_length_c 10.905
_cell_angle_alpha 90.00
_cell_angle_beta 90.00
_cell_angle_gamma 90.00
loop_
_symmetry_equiv_pos_as_xyz
'x,y,z'
loop_
_atom_site_label
_atom_site_fract_x
_atom_site_fract_y
_atom_site_fract_z
S1 0.396 0.283 0.250
S2 0.046 0.140 0.912
S3 0.604 0.717 0.750
S4 0.546 0.360 0.912
S5 0.954 0.860 0.088
S6 0.046 0.140 0.588
S7 0.546 0.360 0.588
S8 0.454 0.640 0.088
S9 0.104 0.783 0.750
S10 0.896 0.217 0.250
S11 0.954 0.860 0.412
S12 0.454 0.640 0.412
Y1 0.214 0.038 0.250
Y2 0.382 0.160 0.750
Y3 0.714 0.462 0.250
Y4 0.786 0.962 0.750
Y5 0.341 0.878 0.955
Y6 0.341 0.878 0.545
Y7 0.159 0.378 0.045
Y8 0.286 0.538 0.750
Y9 0.659 0.122 0.045
Y10 0.659 0.122 0.455
Y11 0.882 0.340 0.750
Y12 0.118 0.660 0.250
Y13 0.159 0.378 0.455
Y14 0.841 0.622 0.545
Y15 0.841 0.622 0.955
Y16 0.618 0.840 0.250
N1 0.051 0.471 0.878
N2 0.449 0.971 0.378
N3 0.051 0.471 0.622
N4 0.949 0.529 0.378
N5 0.551 0.029 0.622
N6 0.449 0.971 0.122
N7 0.551 0.029 0.878
N8 0.949 0.529 0.122
```



(4)
The following is a DFT calculation (meta-GGA SCAN) of a PBEsol-optimized structure of YSN2.

Computed properties:
- VASP energy (eV/atom) = -13.87
- Fermi-level density of states (states/eV per cell) = 2.62
- symmetry = I-42d, No. 122
- total magnetization (μB/f.u.) = 0.0
- formation energy without anion corrections (meV/atom) = 146

```
data_YSN2
_chemical_formula_sum 'Y2 S2 N4'
_symmetry_space_group_name_H-M 'P 1'
_symmetry_Int_Tables_number 1
_cell_length_a 4.521
_cell_length_b 4.521
_cell_length_c 6.549
_cell_angle_alpha 110.19
_cell_angle_beta 110.19
_cell_angle_gamma 90.00
loop_
_symmetry_equiv_pos_as_xyz
'x,y,z'
loop_
_atom_site_label
_atom_site_fract_x
_atom_site_fract_y
_atom_site_fract_z
N1 0.625 0.574 0.750
N2 0.426 0.875 0.250
N3 0.824 0.375 0.250
N4 0.125 0.176 0.750
Y1 0.000 0.000 0.000
Y2 0.250 0.750 0.500
S1 0.750 0.250 0.500
S2 0.500 0.500 0.000
```



(5)
The following is a DFT calculation (meta-GGA SCAN) of a PBEsol-optimized structure of Y4S3N2.

Computed properties:
- VASP energy (eV/atom) = -19.88
- Fermi-level density of states (states/eV per cell) = 0.00
- symmetry = Pnnm, No. 58
- total magnetization (μB/f.u.) = 0.0
- formation energy without anion corrections (meV/atom) = -2229
- energy above the most stable polymorph in this dataset (meV per atom) = 42

```
data_Y4S3N2
_chemical_formula_sum 'Y8 S6 N4'
_symmetry_space_group_name_H-M 'P 1'
_symmetry_Int_Tables_number 1
_cell_length_a 3.784
_cell_length_b 6.366
_cell_length_c 14.558
_cell_angle_alpha 90.00
_cell_angle_beta 90.00
_cell_angle_gamma 90.00
loop_
_symmetry_equiv_pos_as_xyz
'x,y,z'
loop_
_atom_site_label
_atom_site_fract_x
_atom_site_fract_y
_atom_site_fract_z
S1 0.500 0.500 0.500
S2 0.500 0.788 0.298
S3 0.000 0.000 0.000
S4 0.500 0.212 0.702
S5 0.000 0.712 0.798
S6 0.000 0.288 0.202
Y1 0.500 0.284 0.064
Y2 0.000 0.784 0.436
Y3 0.500 0.716 0.936
Y4 0.000 0.216 0.564
Y5 0.500 0.779 0.656
Y6 0.000 0.721 0.156
Y7 0.000 0.279 0.844
Y8 0.500 0.221 0.344
N1 0.000 0.126 0.416
N2 0.500 0.374 0.916
N3 0.500 0.626 0.084
N4 0.000 0.874 0.584
```



(6)
The following is a DFT calculation (meta-GGA SCAN) of a PBEsol-optimized structure of Zn3SN.

Computed properties:
- VASP energy (eV/atom) = -11.77
- Fermi-level density of states (states/eV per cell) = 1.42
- symmetry = Pm-3m, No. 221
- total magnetization (μB/f.u.) = 0.0
- formation energy without anion corrections (meV/atom) = 121
- energy above the most stable polymorph in this dataset (meV per atom) = 0

```
data_Zn3SN
_chemical_formula_sum 'Zn3 S1 N1'
_symmetry_space_group_name_H-M 'P 1'
_symmetry_Int_Tables_number 1
_cell_length_a 4.113
_cell_length_b 4.113
_cell_length_c 4.113
_cell_angle_alpha 90.00
_cell_angle_beta 90.00
_cell_angle_gamma 90.00
loop_
_symmetry_equiv_pos_as_xyz
'x,y,z'
loop_
_atom_site_label
_atom_site_fract_x
_atom_site_fract_y
_atom_site_fract_z
Zn1 0.000 0.000 0.500
Zn2 0.500 0.000 0.000
Zn3 0.000 0.500 0.000
S1 0.500 0.500 0.500
N1 0.000 0.000 0.000
```



(7)
The following is a DFT calculation (meta-GGA SCAN) of a PBEsol-optimized structure of Zn3SN.

Computed properties:
- VASP energy (eV/atom) = -10.55
- Fermi-level density of states (states/eV per cell) = 2.34
- symmetry = Pm-3m, No. 221
- total magnetization (μB/f.u.) = 0.0
- formation energy without anion corrections (meV/atom) = 1342
- energy above the most stable polymorph in this dataset (meV per atom) = 1221

```
data_Zn3SN
_chemical_formula_sum 'Zn3 S1 N1'
_symmetry_space_group_name_H-M 'P 1'
_symmetry_Int_Tables_number 1
_cell_length_a 4.464
_cell_length_b 4.464
_cell_length_c 4.464
_cell_angle_alpha 90.00
_cell_angle_beta 90.00
_cell_angle_gamma 90.00
loop_
_symmetry_equiv_pos_as_xyz
'x,y,z'
loop_
_atom_site_label
_atom_site_fract_x
_atom_site_fract_y
_atom_site_fract_z
Zn1 0.000 0.000 0.500
Zn2 0.500 0.000 0.000
Zn3 0.000 0.500 0.000
N1 0.500 0.500 0.500
S1 0.000 0.000 0.000
```



(8)
The following is a DFT calculation (meta-GGA SCAN) of a PBEsol-optimized structure of ZrS2N2.

Computed properties:
- VASP energy (eV/atom) = -13.10
- Fermi-level density of states (states/eV per cell) = 1.73
- symmetry = P4/mmm, No. 123
- total magnetization (μB/f.u.) = 0.0
- formation energy without anion corrections (meV/atom) = 604

```
data_ZrS2N2
_chemical_formula_sum 'Zr1 S2 N2'
_symmetry_space_group_name_H-M 'P 1'
_symmetry_Int_Tables_number 1
_cell_length_a 3.703
_cell_length_b 3.703
_cell_length_c 4.287
_cell_angle_alpha 90.00
_cell_angle_beta 90.00
_cell_angle_gamma 90.00
loop_
_symmetry_equiv_pos_as_xyz
'x,y,z'
loop_
_atom_site_label
_atom_site_fract_x
_atom_site_fract_y
_atom_site_fract_z
S1 0.000 0.000 0.000
S2 0.000 0.000 0.500
N1 0.500 0.000 0.000
N2 0.000 0.500 0.000
Zr1 0.500 0.500 0.500
```



(9)
The following is a DFT calculation (meta-GGA SCAN) of a PBEsol-optimized structure of Zr2SN.

Computed properties:
- VASP energy (eV/atom) = -21.13
- Fermi-level density of states (states/eV per cell) = 1.49
- symmetry = Fm-3m, No. 225
- total magnetization (μB/f.u.) = 0.0
- formation energy without anion corrections (meV/atom) = -1048

```
data_Zr2SN
_chemical_formula_sum 'Zr2 S1 N1'
_symmetry_space_group_name_H-M 'P 1'
_symmetry_Int_Tables_number 1
_cell_length_a 4.269
_cell_length_b 4.269
_cell_length_c 4.269
_cell_angle_alpha 60.00
_cell_angle_beta 60.00
_cell_angle_gamma 60.00
loop_
_symmetry_equiv_pos_as_xyz
'x,y,z'
loop_
_atom_site_label
_atom_site_fract_x
_atom_site_fract_y
_atom_site_fract_z
Zr1 0.250 0.250 0.250
Zr2 0.750 0.750 0.750
N1 0.000 0.000 0.000
S1 0.500 0.500 0.500
```



(10)
The following is a DFT calculation (meta-GGA SCAN) of a PBEsol-optimized structure of ScSb2N.

Computed properties:
- VASP energy (eV/atom) = -24.30
- Fermi-level density of states (states/eV per cell) = 2.47
- symmetry = I-42d, No. 122
- total magnetization (μB/f.u.) = 0.0
- formation energy without anion corrections (meV/atom) = 212

```
data_ScSb2N
_chemical_formula_sum 'Sc2 Sb4 N2'
_symmetry_space_group_name_H-M 'P 1'
_symmetry_Int_Tables_number 1
_cell_length_a 6.019
_cell_length_b 6.019
_cell_length_c 6.019
_cell_angle_alpha 101.45
_cell_angle_beta 113.63
_cell_angle_gamma 113.63
loop_
_symmetry_equiv_pos_as_xyz
'x,y,z'
loop_
_atom_site_label
_atom_site_fract_x
_atom_site_fract_y
_atom_site_fract_z
Sb1 0.917 0.375 0.792
Sb2 0.417 0.542 0.625
Sb3 0.583 0.208 0.125
Sb4 0.083 0.875 0.458
Sc1 0.000 0.000 0.000
Sc2 0.500 0.750 0.250
N1 0.000 0.500 0.500
N2 0.500 0.250 0.750
```



(11)
The following is a DFT calculation (meta-GGA SCAN) of a PBEsol-optimized structure of SnSbSe2N.

Computed properties:
- VASP energy (eV/atom) = -23.83
- Fermi-level density of states (states/eV per cell) = 3.52
- symmetry = P4/mmm, No. 123
- total magnetization (μB/f.u.) = 0.7
- formation energy without anion corrections (meV/atom) = 692

```
data_SnSbSe2N
_chemical_formula_sum 'Sn1 Sb1 Se2 N1'
_symmetry_space_group_name_H-M 'P 1'
_symmetry_Int_Tables_number 1
_cell_length_a 3.908
_cell_length_b 5.324
_cell_length_c 5.324
_cell_angle_alpha 90.00
_cell_angle_beta 90.00
_cell_angle_gamma 90.00
loop_
_symmetry_equiv_pos_as_xyz
'x,y,z'
loop_
_atom_site_label
_atom_site_fract_x
_atom_site_fract_y
_atom_site_fract_z
Se1 0.000 0.500 0.000
Se2 0.000 0.000 0.500
Sn1 0.000 0.000 0.000
Sb1 0.500 0.500 0.500
N1 0.500 0.000 0.000
```



(12)
The following is a DFT calculation (meta-GGA SCAN) of a PBEsol-optimized structure of ZrSbSeN2.

Computed properties:
- VASP energy (eV/atom) = -21.13
- Fermi-level density of states (states/eV per cell) = 1.97
- symmetry = P4/mmm, No. 123
- total magnetization (μB/f.u.) = 1.2
- formation energy without anion corrections (meV/atom) = 196

```
data_ZrSbSeN2
_chemical_formula_sum 'Zr1 Sb1 Se1 N2'
_symmetry_space_group_name_H-M 'P 1'
_symmetry_Int_Tables_number 1
_cell_length_a 4.154
_cell_length_b 4.154
_cell_length_c 5.368
_cell_angle_alpha 90.00
_cell_angle_beta 90.00
_cell_angle_gamma 90.00
loop_
_symmetry_equiv_pos_as_xyz
'x,y,z'
loop_
_atom_site_label
_atom_site_fract_x
_atom_site_fract_y
_atom_site_fract_z
Zr1 0.000 0.000 0.000
N1 0.000 0.500 0.000
N2 0.500 0.000 0.000
Se1 0.000 0.000 0.500
Sb1 0.500 0.500 0.500
```